DFT (PBE) results for Y4Au2N after structural relaxation.

- Formation energy from raw total energies: -918 meV/atom
- SG: I4/mmm (139)
- Raw total energy: -6.737 eV/atom

```
Y4Au2N
1.0
4.731 0.000 0.000
0.000 4.731 0.000
2.366 2.366 7.333
Au Y N
2 4 1
direct
0.369 0.369 0.262 Au
0.631 0.631 0.738 Au
0.500 0.000 0.000 Y
0.174 0.174 0.652 Y
0.000 0.500 0.000 Y
0.826 0.826 0.348 Y
0.000 0.000 0.000 N
```

=====

DFT (PBE) results for UIn7 after structural relaxation.

- SG: Fm-3m (225)
- Raw total energy: -3.783 eV/atom
- Energy relative to the elements: 24 meV/atom

```
UIn7
1.0
-3.733 0.033 5.493
-5.673 -3.449 0.180
-0.445 -5.467 3.746
U In
1 7
direct
0.000 0.000 0.000 U
0.000 0.500 0.000 In
0.500 0.500 0.500 In
0.000 0.500 0.500 In
0.500 0.000 0.000 In
0.500 0.500 0.000 In
0.500 0.000 0.500 In
0.000 0.000 0.500 In
```

=====

DFT (PBE) results for ZnCo2Ru after structural relaxation.

- SG: Imm2 (44)
- Raw total energy: -6.060 eV/atom
- Energy relative to the elements: 131 meV/atom

```
ZnCo2Ru
1.0
-1.510 1.366 -4.411
3.229 -0.269 -3.621
-2.371 -2.499 3.426
Ru Co Zn
1 2 1
direct
0.507 0.507 0.000 Ru
0.758 0.258 0.500 Co
0.993 0.993 0.000 Co
0.242 0.742 0.500 Zn
```

=====

DFT (PBE) results for BaMn2AgI8 after structural relaxation.

- Formation energy from raw total energies: -630 meV/atom
- SG: P-3 (147)
- Raw total energy: -3.590 eV/atom

```
BaMn2AgI8
1.0
-1.831 4.335 -5.788
-0.924 -7.389 -0.435
-9.312 0.949 3.656
I Ba Mn Ag
8 1 2 1
direct
0.667 0.333 0.990 I
0.333 0.667 0.010 I
0.001 0.692 0.309 I
0.691 0.999 0.309 I
0.999 0.308 0.691 I
0.308 0.309 0.309 I
0.692 0.691 0.691 I
0.309 0.001 0.691 I
0.000 0.000 0.000 Ba
0.333 0.667 0.748 Mn
0.667 0.333 0.252 Mn
0.000 0.000 0.500 Ag
```

=====

The highest raw total energy belongs to which entry?
BaMn2AgI8